NbAsP2Cl: optimized geometry, PBE.

Cell and atoms, written as CIF:
```
data_NbAsP2Cl
_chemical_formula_sum 'Nb1 As1 P2 Cl1'
_cell_length_a 4.692
_cell_length_b 4.692
_cell_length_c 4.604
_cell_angle_alpha 90.00
_cell_angle_beta 90.00
_cell_angle_gamma 90.00
_symmetry_space_group_name_H-M 'P 4/m m m'
_symmetry_Int_Tables_number 123
_symmetry_space_group_name_Hall '-P 4 2'
loop_
_atom_site_label
_atom_site_fract_x
_atom_site_fract_y
_atom_site_fract_z
Nb1 0.000 0.000 0.000
As1 0.500 0.500 0.500
P1 0.000 0.500 0.500
Cl1 0.500 0.500 0.000
```

Results
E_form (uncorrected) ... 1.007 eV per atom
E above lowest polymorph ... 3.00 eV/f.u.
Uncorrected energy ... -4.470 eV/atom
Spin magnetization ... 0.084 μB/f.u.